Record 1
Entry from the Alexandria database: MnBe4Zn after structural relaxation (PBE).

The calculation puts the total energy at -4.286 eV/atom. The value obtained for the density of states at the Fermi level is 0.253 states/eV/atom. The formation enthalpy at 0 K is -0.06 eV per atom. For the total moment, the calculation gives 2.7 μB per formula unit.

The structure belongs to space group F-43m (No. 216); the cell edges are 6.106, 6.106 and 6.106 Å and the angles 90.00°, 90.00° and 90.00°. The inequivalent atoms are Mn at (0.000, 0.000, 0.000), Be at (0.127, 0.127, 0.373) and Zn at (0.250, 0.250, 0.750).

***

Record 2
Entry from the Alexandria database: MnBeZn3 after structural relaxation (PBE).

The calculation puts the total energy at -2.278 eV/atom. The value obtained for the density of states at the Fermi level is 0.958 states/eV/atom. The formation enthalpy at 0 K is 1.07 eV per atom. For the total moment, the calculation gives 3.0 μB per formula unit.

The structure belongs to space group Pm-3m (No. 221); the cell edges are 4.689, 4.689 and 4.689 Å and the angles 90.00°, 90.00° and 90.00°. The inequivalent atoms are Mn at (0.000, 0.000, 0.000), Be at (0.500, 0.500, 0.500) and Zn at (0.000, 0.000, 0.500).

***

Record 3
Entry from the Alexandria database: Mn2Be2Zn after structural relaxation (PBE).

The calculation puts the total energy at -5.017 eV/atom. The value obtained for the density of states at the Fermi level is 0.609 states/eV/atom. The formation enthalpy at 0 K is 0.40 eV per atom. For the total moment, the calculation gives 5.2 μB per formula unit.

The structure belongs to space group I4/mmm (No. 139); the cell edges are 3.567, 3.567 and 9.545 Å and the angles 90.00°, 90.00° and 90.00°. The inequivalent atoms are Mn at (0.000, 0.500, 0.250), Be at (0.000, 0.000, 0.105) and Zn at (0.000, 0.000, 0.500).

***

Record 4
Entry from the Alexandria database: Mn2Be2Zn after structural relaxation (PBE).

The calculation puts the total energy at -5.225 eV/atom. The value obtained for the density of states at the Fermi level is 0.327 states/eV/atom. The formation enthalpy at 0 K is 0.19 eV per atom. For the total moment, the calculation gives 0.0 μB per formula unit.

The structure belongs to space group P4/mbm (No. 127); the cell edges are 6.298, 6.298 and 2.731 Å and the angles 90.00°, 90.00° and 90.00°. The inequivalent atoms are Mn at (0.113, 0.387, 0.000), Be at (0.179, 0.679, 0.500) and Zn at (0.000, 0.000, 0.000).

***

Record 5
Entry from the Alexandria database: Mn2BeZn after structural relaxation (PBE).

The calculation puts the total energy at -5.656 eV/atom. The value obtained for the density of states at the Fermi level is 1.157 states/eV/atom. The formation enthalpy at 0 K is 0.18 eV per atom. For the total moment, the calculation gives 3.2 μB per formula unit.

The structure belongs to space group R-3m (No. 166, hexagonal axes); the cell edges are 2.5286, 2.5286 and 24.5980 Å and the angles 90.00°, 90.00° and 120.00°. The inequivalent atoms are Mn at (0.0000, 0.0000, 0.2437), Be at (0.0000, 0.0000, 0.5000) and Zn at (0.0000, 0.0000, 0.0000).

***

Record 6
Entry from the Alexandria database: Mn2BeZn after structural relaxation (PBE).

The calculation puts the total energy at -5.318 eV/atom. The value obtained for the density of states at the Fermi level is 0.911 states/eV/atom. The formation enthalpy at 0 K is 0.52 eV per atom. For the total moment, the calculation gives 0.0 μB per formula unit.

The structure belongs to space group I-42d (No. 122); the cell edges are 3.336, 3.336 and 17.096 Å and the angles 90.00°, 90.00° and 90.00°. The inequivalent atoms are Mn at (0.197, 0.250, 0.125), Be at (0.000, 0.000, 0.000) and Zn at (0.000, 0.000, 0.500).